No. 1
First-principles (PBEsol) data for a relaxed structure of SiNi2S, as listed in Alexandria via LeMat-Bulk.

Properties
Calculated volume ... 11.74 Å³/atom
M_tot ... 0.00 Bohr magnetons per cell
Crystal system ... cubic
Raw total energy ... -91.10 eV per cell
Space group ... Fm-3m

a = 5.7273 Å, b = 5.7273 Å, c = 5.7273 Å
α = 90.00°, β = 90.00°, γ = 90.00°
With the nearest neighbours (Å) after each atom.
Sites, in units of the cell vectors:
Si 0.0000 0.0000 0.0000  8 Ni 2.48
Si 0.0000 0.5000 0.5000  8 Ni 2.48
Si 0.5000 0.0000 0.5000  8 Ni 2.48
Si 0.5000 0.5000 0.0000  8 Ni 2.48
Ni 0.2500 0.2500 0.2500  4 S 2.48, 4 Si 2.48
Ni 0.2500 0.2500 0.7500  4 S 2.48, 4 Si 2.48
Ni 0.2500 0.7500 0.2500  4 S 2.48, 4 Si 2.48
Ni 0.2500 0.7500 0.7500  4 S 2.48, 4 Si 2.48
Ni 0.7500 0.2500 0.2500  4 S 2.48, 4 Si 2.48
Ni 0.7500 0.2500 0.7500  4 S 2.48, 4 Si 2.48
Ni 0.7500 0.7500 0.2500  4 S 2.48, 4 Si 2.48
Ni 0.7500 0.7500 0.7500  4 S 2.48, 4 Si 2.48
S 0.0000 0.0000 0.5000  8 Ni 2.48
S 0.0000 0.5000 0.0000  8 Ni 2.48
S 0.5000 0.0000 0.0000  8 Ni 2.48
S 0.5000 0.5000 0.5000  8 Ni 2.48


No. 2
First-principles (PBEsol) data for a relaxed structure of Si2NiSnS, as listed in Alexandria via LeMat-Bulk.

Properties
Calculated volume ... 18.63 Å³/atom
M_tot ... 0.00 Bohr magnetons per cell
Crystal system ... tetragonal
Raw total energy ... -25.08 eV per cell
Space group ... P4/mmm

a = 4.2735 Å, b = 4.2735 Å, c = 5.0997 Å
α = 90.00°, β = 90.00°, γ = 90.00°
With the nearest neighbours (Å) after each atom.
Sites, in units of the cell vectors:
Si 0.0000 0.5000 0.0000  2 Ni 2.14
Si 0.5000 0.0000 0.0000  2 Ni 2.14
Ni 0.0000 0.0000 0.0000  4 Si 2.14
Sn 0.5000 0.5000 0.5000  4 S 3.02, 8 Si 3.33
S 0.0000 0.0000 0.5000  2 Ni 2.55